# 1
Density functional theory data (PBE) for a relaxed Ca7P2Pb2 crystal.

## Properties
As for the spin magnetization: 0.00 μB/atom. The energy of formation comes out at -0.700 eV/atom. For the electronic total energy, the calculation gives -3.63 eV per atom.

Cell: 8.783 11.059 7.164 Å, 90.00 90.00 90.00°
Space group Cmmm (No. 65)
Unique sites:
Ca 0.000 0.000 0.000 (multiplicity 2)
Ca 0.000 0.500 0.240 (multiplicity 4)
Ca 0.250 0.250 0.252 (multiplicity 8)
P 0.000 0.281 0.000 (multiplicity 4)
Pb 0.191 0.000 0.500 (multiplicity 4)

=====

# 2
Density functional theory data (PBE) for a relaxed Pr4CdIn2Ag crystal.

## Properties
As for the spin magnetization: 0.14 μB/atom. The energy of formation comes out at -0.387 eV/atom. For the electronic total energy, the calculation gives -3.93 eV per atom.

Cell: 5.4810 5.4810 26.8861 Å, 90.00 90.00 120.00°
Space group R-3m (No. 166, hexagonal axes)
Unique sites:
Pr 0.0000 0.0000 0.1227 (multiplicity 6)
Pr 0.0000 0.0000 0.3728 (multiplicity 6)
Cd 0.0000 0.0000 0.5000 (multiplicity 3)
In 0.0000 0.0000 0.2480 (multiplicity 6)
Ag 0.0000 0.0000 0.0000 (multiplicity 3)

=====

# 3
Density functional theory data (PBE) for a relaxed Dy2MgRuC crystal.

## Properties
As for the spin magnetization: 0.00 μB/atom. The energy of formation comes out at -0.308 eV/atom. For the electronic total energy, the calculation gives -6.17 eV per atom.

Cell: 5.022 5.022 3.946 Å, 90.00 90.00 90.00°
Space group P4/mmm (No. 123)
Unique sites:
Dy 0.000 0.500 0.000 (multiplicity 2)
Mg 0.000 0.000 0.500 (multiplicity 1)
Ru 0.500 0.500 0.500 (multiplicity 1)
C 0.500 0.500 0.000 (multiplicity 1)

=====

# 4
Density functional theory data (PBE) for a relaxed Pm4Cd2In5 crystal.

## Properties
As for the spin magnetization: 0.00 μB/atom. The energy of formation comes out at -0.388 eV/atom. For the electronic total energy, the calculation gives -3.53 eV per atom.

Cell: 8.064 3.585 10.404 Å, 90.00 94.44 90.00°
Space group P2/m (No. 10)
Unique sites:
Pm 0.171 0.000 0.389 (multiplicity 2)
Pm 0.282 0.000 0.941 (multiplicity 2)
Cd 0.060 0.500 0.134 (multiplicity 2)
In 0.189 0.500 0.666 (multiplicity 2)
In 0.435 0.500 0.203 (multiplicity 2)
In 0.500 0.500 0.500 (multiplicity 1)

=====

spin magnetization of number 4 (Pm4Cd2In5)?
0.00 μB/atom

=====

Number 1 is which compound?
Ca7P2Pb2

=====

Among the records above, which one has the lowest electronic total energy?
Dy2MgRuC

=====

Which value of spin magnetization does entry 2 give?
0.14 μB/atom